Material: Hf2Ge2P
Method: DFT, PBE
State: optimized geometry

Structure (POSCAR):
```
Hf2Ge2P
1.0
7.0119 0.0000 0.0000
0.0000 7.0119 0.0000
0.0000 0.0000 3.7183
P Ge Hf
2 4 4
Direct
0.0000 0.0000 0.0000 P
0.5000 0.5000 0.0000 P
0.3738 0.8738 0.0000 Ge
0.8738 0.6262 0.0000 Ge
0.6262 0.1262 0.0000 Ge
0.1262 0.3738 0.0000 Ge
0.1809 0.6809 0.5000 Hf
0.6809 0.8191 0.5000 Hf
0.8191 0.3191 0.5000 Hf
0.3191 0.1809 0.5000 Hf
```

Computed properties:
E   -71.08 eV per cell
DFT formation energy   -0.198 eV per atom
Distance to the lowest polymorph of the same formula   36.95 kJ per mole of atoms
SG   P4/mbm (127)